This record from Alexandria via LeMat-Bulk describes a geometry-optimized NiAs2Pb structure. The functional is PBE.

```
NiAs2Pb
1.0
3.138 0.000 0.000
0.000 3.138 0.000
0.000 0.000 8.188
Ni As Pb
1 2 1
Direct
0.000 0.000 0.000
0.500 0.500 0.167
0.500 0.500 0.833
0.000 0.000 0.500
```

Density of states at the Fermi level   1.64 states/eV per cell
V   20.16 Å³/atom
Crystal system   tetragonal
Formation energy from the elements   6.5 kJ/mol of atoms
Space-group type   P4/mmm, No. 123
Total magnetization   0.00 μB per formula unit

---

This record from Alexandria via LeMat-Bulk describes a geometry-optimized BaLa2Ag structure. The functional is PBE.

```
BaLa2Ag
1.0
-1.906 2.996 6.329
1.906 -2.996 6.329
1.906 2.996 -6.329
Ba La Ag
1 2 1
Direct
0.000 0.000 0.000
0.288 0.788 0.500
0.712 0.212 0.500
0.500 0.500 0.000
```

Density of states at the Fermi level   6.04 states/eV per cell
Energy relative to the lowest polymorph listed for this composition   3.3 kJ/mol of atoms
V   36.15 Å³/atom
Crystal system   orthorhombic
Formation energy from the elements   -3.2 kJ/mol of atoms
Space-group type   Immm, No. 71
Total magnetization   0.00 μB per formula unit

---

This record from Alexandria via LeMat-Bulk describes a geometry-optimized TbAlCo2 structure. The functional is PBE.

```
TbAlCo2
1.0
4.311 0.000 0.000
0.000 4.311 0.000
0.000 0.000 3.251
Tb Al Co
1 1 2
Direct
0.000 0.000 0.000
0.500 0.500 0.000
0.000 0.500 0.500
0.500 0.000 0.500
```

Density of states at the Fermi level   1.51 states/eV per cell
V   15.11 Å³/atom
Crystal system   tetragonal
Formation energy from the elements   -18.8 kJ/mol of atoms
Space-group type   P4/mmm, No. 123
Total magnetization   0.00 μB per formula unit

---

This record from Alexandria via LeMat-Bulk describes a geometry-optimized VB6Mo6 structure. The functional is PBE.

```
VB6Mo6
1.0
-2.358 3.743 4.104
2.358 -3.743 4.104
2.358 3.743 -4.104
V B Mo
1 6 6
Direct
0.000 0.000 0.000
0.000 0.000 0.500
0.000 0.500 0.000
0.246 0.500 0.746
0.500 0.000 0.000
0.500 0.500 0.500
0.754 0.500 0.254
0.174 0.674 0.500
0.317 0.000 0.317
0.340 0.340 0.000
0.660 0.660 0.000
0.683 0.000 0.683
0.826 0.326 0.500
```

Density of states at the Fermi level   8.16 states/eV per cell
V   11.14 Å³/atom
Crystal system   orthorhombic
Formation energy from the elements   12.8 kJ/mol of atoms
Space-group type   Immm, No. 71
Total magnetization   0.00 μB per formula unit

---

This record from Alexandria via LeMat-Bulk describes a geometry-optimized LaTmB12 structure. The functional is PBE.

```
LaTmB12
1.0
4.119 0.000 0.000
0.000 4.119 0.000
0.000 0.000 8.236
La Tm B
1 1 12
Direct
0.000 0.000 0.000
0.000 0.000 0.500
0.199 0.500 0.253
0.199 0.500 0.747
0.500 0.199 0.253
0.500 0.199 0.747
0.500 0.500 0.101
0.500 0.500 0.402
0.500 0.500 0.598
0.500 0.500 0.899
0.500 0.801 0.253
0.500 0.801 0.747
0.801 0.500 0.253
0.801 0.500 0.747
```

Density of states at the Fermi level   1.45 states/eV per cell
V   9.98 Å³/atom
Crystal system   tetragonal
Formation energy from the elements   -43.9 kJ/mol of atoms
Space-group type   P4/mmm, No. 123
Total magnetization   0.00 μB per formula unit

---

This record from Alexandria via LeMat-Bulk describes a geometry-optimized Ce4Tl2Ge structure. The functional is PBE.

```
Ce4Tl2Ge
1.0
5.377 0.000 0.000
0.000 4.554 4.269
0.000 -4.554 4.269
Ce Tl Ge
4 2 1
Direct
0.000 0.000 0.000
0.000 0.317 0.317
0.500 0.156 0.657
0.500 0.657 0.156
0.000 0.490 0.826
0.000 0.826 0.490
0.500 0.158 0.158
```

Density of states at the Fermi level   22.24 states/eV per cell
Energy relative to the lowest polymorph listed for this composition   3.5 kJ/mol of atoms
V   29.86 Å³/atom
Crystal system   orthorhombic
Formation energy from the elements   -18.6 kJ/mol of atoms
Space-group type   Amm2, No. 38
Total magnetization   4.61 μB per formula unit

---

This record from Alexandria via LeMat-Bulk describes a geometry-optimized Ti2FeGe2 structure. The functional is PBE.

```
Ti2FeGe2
1.0
2.047 -6.948 0.000
2.047 6.948 0.000
0.000 0.000 5.296
Ti Fe Ge
4 2 4
Direct
0.005 0.995 0.500
0.202 0.798 0.302
0.798 0.202 0.802
0.995 0.005 0.000
0.399 0.601 0.199
0.601 0.399 0.699
0.176 0.824 0.795
0.423 0.577 0.733
0.577 0.423 0.233
0.824 0.176 0.295
```

Density of states at the Fermi level   5.65 states/eV per cell
V   15.07 Å³/atom
Crystal system   orthorhombic
Formation energy from the elements   -42.2 kJ/mol of atoms
Space-group type   Cmc2_1, No. 36
Total magnetization   0.57 μB per formula unit

---

This record from Alexandria via LeMat-Bulk describes a geometry-optimized Pm2ErNi9 structure. The functional is PBE.

```
Pm2ErNi9
1.0
2.490 1.437 8.238
-2.490 1.437 8.238
0.000 -2.875 8.238
Pm Er Ni
2 1 9
Direct
0.138 0.138 0.138
0.862 0.862 0.862
0.000 0.000 0.000
0.081 0.580 0.580
0.333 0.333 0.333
0.420 0.420 0.919
0.420 0.919 0.420
0.500 0.500 0.500
0.580 0.081 0.580
0.580 0.580 0.081
0.667 0.667 0.667
0.919 0.420 0.420
```

Density of states at the Fermi level   14.23 states/eV per cell
V   14.74 Å³/atom
Crystal system   trigonal
Formation energy from the elements   -34.6 kJ/mol of atoms
Space-group type   R-3m, No. 166
Total magnetization   1.05 μB per formula unit

---

This record from Alexandria via LeMat-Bulk describes a geometry-optimized NpSc5Ru6 structure. The functional is PBE.

```
NpSc5Ru6
1.0
2.294 -6.826 0.000
2.294 6.826 0.000
0.000 0.000 6.470
Np Sc Ru
1 5 6
Direct
0.000 0.000 0.000
0.000 0.000 0.500
0.328 0.672 0.000
0.332 0.668 0.500
0.668 0.332 0.500
0.672 0.328 0.000
0.161 0.839 0.243
0.161 0.839 0.757
0.500 0.500 0.240
0.500 0.500 0.760
0.839 0.161 0.243
0.839 0.161 0.757
```

Density of states at the Fermi level   10.41 states/eV per cell
V   16.89 Å³/atom
Crystal system   orthorhombic
Formation energy from the elements   -52.8 kJ/mol of atoms
Space-group type   Cmmm, No. 65
Total magnetization   1.45 μB per formula unit

---

This record from Alexandria via LeMat-Bulk describes a geometry-optimized In12Sn3H5 structure. The functional is PBE.

```
In12Sn3H5
1.0
-7.719 7.719 7.719
7.719 -7.719 7.719
7.719 7.719 -7.719
In Sn H
48 12 20
Direct
0.005 0.193 0.097
0.005 0.312 0.908
0.092 0.597 0.404
0.092 0.995 0.688
0.096 0.693 0.688
0.096 0.903 0.408
0.097 0.005 0.193
0.097 0.592 0.904
0.188 0.193 0.596
0.188 0.495 0.592
0.193 0.097 0.005
0.193 0.596 0.188
0.307 0.312 0.904
0.307 0.495 0.403
0.312 0.904 0.307
0.312 0.908 0.005
0.403 0.307 0.495
0.403 0.596 0.908
0.404 0.092 0.597
0.404 0.812 0.807
0.408 0.096 0.903
0.408 0.812 0.505
0.495 0.403 0.307
0.495 0.592 0.188
0.505 0.408 0.812
0.505 0.597 0.693
0.592 0.188 0.495
0.592 0.904 0.097
0.596 0.188 0.193
0.596 0.908 0.403
0.597 0.404 0.092
0.597 0.693 0.505
0.688 0.092 0.995
0.688 0.096 0.693
0.693 0.505 0.597
0.693 0.688 0.096
0.807 0.404 0.812
0.807 0.903 0.995
0.812 0.505 0.408
0.812 0.807 0.404
0.903 0.408 0.096
0.903 0.995 0.807
0.904 0.097 0.592
0.904 0.307 0.312
0.908 0.005 0.312
0.908 0.403 0.596
0.995 0.688 0.092
0.995 0.807 0.903
0.125 0.250 0.375
0.125 0.375 0.750
0.250 0.375 0.125
0.250 0.875 0.625
0.375 0.125 0.250
0.375 0.750 0.125
0.625 0.250 0.875
0.625 0.875 0.750
0.750 0.125 0.375
0.750 0.625 0.875
0.875 0.625 0.250
0.875 0.750 0.625
0.000 0.000 0.000
0.000 0.000 0.500
0.000 0.500 0.000
0.000 0.500 0.500
0.125 0.750 0.875
0.125 0.875 0.250
0.250 0.125 0.875
0.250 0.625 0.375
0.375 0.250 0.625
0.375 0.625 0.750
0.500 0.000 0.000
0.500 0.000 0.500
0.500 0.500 0.000
0.500 0.500 0.500
0.625 0.375 0.250
0.625 0.750 0.375
0.750 0.375 0.625
0.750 0.875 0.125
0.875 0.125 0.750
0.875 0.250 0.125
```

Raw total energy   -2.820 eV per atom
Density of states at the Fermi level   32.60 states/eV per cell
V   23.00 Å³/atom
Crystal system   cubic
Space-group type   Ia-3d, No. 230
Total magnetization   0.00 μB per formula unit

---

This record from Alexandria via LeMat-Bulk describes a geometry-optimized Hg2TeCl2 structure. The functional is PBE.

```
Hg2TeCl2
1.0
-3.948 3.948 5.625
3.948 -3.948 5.625
3.948 3.948 -5.625
Hg Te Cl
4 2 4
Direct
0.227 0.000 0.227
0.750 0.023 0.273
0.750 0.477 0.727
0.773 0.000 0.773
0.175 0.175 0.000
0.925 0.425 0.500
0.016 0.774 0.241
0.524 0.266 0.741
0.524 0.783 0.259
0.533 0.774 0.759
```

Energy relative to the lowest polymorph listed for this composition   9.8 kJ/mol of atoms
V   35.07 Å³/atom
Crystal system   tetragonal
Formation energy (no corrections)   -35.4 kJ per mole of atoms
Space-group type   I4_1md, No. 109
Total magnetization   0.00 μB per formula unit

---

This record from Alexandria via LeMat-Bulk describes a geometry-optimized FeCuSn2 structure. The functional is PBE.

```
FeCuSn2
1.0
0.000 3.232 3.232
3.232 0.000 3.232
3.232 3.232 0.000
Fe Cu Sn
1 1 2
Direct
0.000 0.000 0.000
0.500 0.500 0.500
0.250 0.250 0.250
0.750 0.750 0.750
```

Density of states at the Fermi level   3.93 states/eV per cell
Energy relative to the lowest polymorph listed for this composition   5.3 kJ/mol of atoms
V   16.88 Å³/atom
Crystal system   cubic
Formation energy from the elements   36.9 kJ/mol of atoms
Space-group type   Fm-3m, No. 225
Total magnetization   0.00 μB per formula unit

---

This record from Alexandria via LeMat-Bulk describes a geometry-optimized In3IrCl structure. The functional is PBE.

```
In3IrCl
1.0
6.462 -7.116 0.000
6.462 7.116 0.000
-1.386 0.000 6.195
In Ir Cl
12 4 4
Direct
0.006 0.752 0.977
0.038 0.242 0.547
0.190 0.515 0.717
0.242 0.038 0.047
0.248 0.994 0.523
0.485 0.810 0.783
0.515 0.190 0.217
0.752 0.006 0.477
0.758 0.962 0.953
0.810 0.485 0.283
0.962 0.758 0.453
0.994 0.248 0.023
0.005 0.995 0.250
0.211 0.789 0.750
0.789 0.211 0.250
0.995 0.005 0.750
0.224 0.439 0.129
0.439 0.224 0.629
0.561 0.776 0.371
0.776 0.561 0.871
```

Density of states at the Fermi level   0.43 states/eV per cell
Energy relative to the lowest polymorph listed for this composition   17.3 kJ/mol of atoms
V   28.48 Å³/atom
Crystal system   monoclinic
Formation energy (no corrections)   -25.0 kJ per mole of atoms
Space-group type   C2/c, No. 15
Total magnetization   0.00 μB per formula unit

---

This record from Alexandria via LeMat-Bulk describes a geometry-optimized CdBr3N2 structure. The functional is PBE.

```
CdBr3N2
1.0
4.477 0.000 0.000
-2.183 7.478 0.000
-0.290 -3.416 12.349
Cd Br N
2 6 4
Direct
0.136 0.263 0.031
0.864 0.737 0.969
0.004 0.001 0.409
0.029 0.007 0.150
0.266 0.545 0.890
0.734 0.455 0.110
0.971 0.993 0.850
0.996 0.999 0.591
0.275 0.523 0.345
0.288 0.582 0.434
0.712 0.418 0.566
0.725 0.477 0.655
```

V   34.45 Å³/atom
Crystal system   triclinic
Formation energy (no corrections)   -37.9 kJ per mole of atoms
Space-group type   P-1, No. 2
Total magnetization   0.00 μB per formula unit

---

This record from Alexandria via LeMat-Bulk describes a geometry-optimized NpCuOsO6 structure. The functional is PBE.

```
NpCuOsO6
1.0
5.229 0.000 0.000
-2.614 4.528 0.000
0.000 0.000 9.133
Np Cu Os O
2 2 2 12
Direct
0.333 0.667 0.250
0.667 0.333 0.750
0.000 0.000 0.000
0.000 0.000 0.500
0.333 0.667 0.750
0.667 0.333 0.250
0.017 0.349 0.629
0.017 0.668 0.871
0.332 0.349 0.871
0.332 0.983 0.629
0.349 0.017 0.129
0.349 0.332 0.371
0.651 0.668 0.629
0.651 0.983 0.871
0.668 0.017 0.371
0.668 0.651 0.129
0.983 0.332 0.129
0.983 0.651 0.371
```

Density of states at the Fermi level   18.49 states/eV per cell
V   12.01 Å³/atom
Crystal system   trigonal
Formation energy (no corrections)   -152.7 kJ per mole of atoms
Space-group type   P-31c, No. 163
Total magnetization   1.41 μB per formula unit

---

This record from Alexandria via LeMat-Bulk describes a geometry-optimized NpCoNi structure. The functional is PBE.

```
NpCoNi
1.0
-1.513 1.513 4.870
1.513 -1.513 4.870
1.513 1.513 -4.870
Np Co Ni
1 1 1
Direct
0.000 0.000 0.000
0.329 0.329 0.000
0.690 0.690 0.000
```

Density of states at the Fermi level   6.00 states/eV per cell
Energy relative to the lowest polymorph listed for this composition   5.6 kJ/mol of atoms
V   14.88 Å³/atom
Crystal system   tetragonal
Formation energy from the elements   19.2 kJ/mol of atoms
Space-group type   I4mm, No. 107
Total magnetization   1.79 μB per formula unit

---

This record from Alexandria via LeMat-Bulk describes a geometry-optimized Pr3Y4Mg structure. The functional is PBE.

```
Pr3Y4Mg
1.0
13.094 -1.731 0.000
13.094 1.731 0.000
-0.718 0.000 5.897
Pr Y Mg
3 4 1
Direct
0.000 0.000 0.000
0.150 0.150 0.212
0.850 0.850 0.788
0.101 0.101 0.683
0.282 0.282 0.264
0.718 0.718 0.736
0.899 0.899 0.317
0.500 0.500 0.500
```

Density of states at the Fermi level   13.07 states/eV per cell
Energy relative to the lowest polymorph listed for this composition   15.7 kJ/mol of atoms
V   33.41 Å³/atom
Crystal system   monoclinic
Formation energy from the elements   16.9 kJ/mol of atoms
Space-group type   C2/m, No. 12
Total magnetization   0.00 μB per formula unit

---

This record from Alexandria via LeMat-Bulk describes a geometry-optimized ThSc2In structure. The functional is PBE.

```
ThSc2In
1.0
3.449 0.000 0.000
0.000 3.449 0.000
0.000 0.000 8.477
Th Sc In
1 2 1
Direct
0.000 0.000 0.000
0.500 0.500 0.270
0.500 0.500 0.730
0.000 0.000 0.500
```

Density of states at the Fermi level   1.99 states/eV per cell
Energy relative to the lowest polymorph listed for this composition   0.0 kJ/mol of atoms
V   25.22 Å³/atom
Crystal system   tetragonal
Formation energy from the elements   -23.8 kJ/mol of atoms
Space-group type   P4/mmm, No. 123
Total magnetization   0.00 μB per formula unit

---

This record from Alexandria via LeMat-Bulk describes a geometry-optimized YIn4Br7 structure. The functional is PBE.

```
YIn4Br7
1.0
10.837 -2.757 0.000
10.837 2.757 0.000
-2.374 0.000 7.525
Y In Br
1 4 7
Direct
0.000 0.000 0.000
0.308 0.308 0.745
0.418 0.418 0.366
0.582 0.582 0.634
0.692 0.692 0.255
0.082 0.082 0.350
0.111 0.111 0.885
0.278 0.278 0.337
0.500 0.500 0.000
0.722 0.722 0.663
0.889 0.889 0.115
0.918 0.918 0.650
```

Density of states at the Fermi level   0.00 states/eV per cell
V   37.47 Å³/atom
Crystal system   monoclinic
Formation energy (no corrections)   -100.4 kJ per mole of atoms
Space-group type   C2/m, No. 12
Total magnetization   0.00 μB per formula unit

---

This record from Alexandria via LeMat-Bulk describes a geometry-optimized LiDyCd4Ag2 structure. The functional is PBE.

```
LiDyCd4Ag2
1.0
2.445 1.412 8.006
-2.445 1.412 8.006
0.000 -2.823 8.006
Li Dy Cd Ag
1 1 4 2
Direct
0.000 0.000 0.000
0.500 0.500 0.500
0.115 0.115 0.115
0.369 0.369 0.369
0.631 0.631 0.631
0.885 0.885 0.885
0.246 0.246 0.246
0.754 0.754 0.754
```

Density of states at the Fermi level   3.64 states/eV per cell
V   20.72 Å³/atom
Crystal system   trigonal
Formation energy from the elements   -19.5 kJ/mol of atoms
Space-group type   R-3m, No. 166
Total magnetization   0.00 μB per formula unit